(1)
! LaZn4Rh2 PBE optimized geometry; values from VASP
! Space group: P4_2/mnm
! Calculated volume (A^3/atom): 17.52
! Formation energy from the elements (eV per atom): -0.5012
&SYSTEM
  ibrav = 0, nat = 14, ntyp = 3
/
ATOMIC_SPECIES
Zn 65.41 Zn.upf
La 138.91 La.upf
Rh 102.91 Rh.upf
ATOMIC_POSITIONS crystal
Zn 0.000 0.092 0.350
La 0.500 0.000 0.000
Rh 0.500 0.714 0.714
Rh 0.000 0.214 0.786
Zn 0.000 0.908 0.650
Zn 0.000 0.350 0.092
Zn 0.500 0.850 0.408
Rh 0.500 0.286 0.286
Rh 0.000 0.786 0.214
Zn 0.500 0.592 0.150
Zn 0.500 0.150 0.592
Zn 0.500 0.408 0.850
La 0.000 0.500 0.500
Zn 0.000 0.650 0.908
CELL_PARAMETERS angstrom
4.094 0.000 0.000
0.000 7.741 0.000
0.000 0.000 7.741

(2)
! La3ZnRh2 PBE optimized geometry; values from VASP
! Space group: Ibam
! Calculated volume (A^3/atom): 27.46
! Formation energy from the elements (eV per atom): -0.5638
&SYSTEM
  ibrav = 0, nat = 12, ntyp = 3
/
ATOMIC_SPECIES
La 138.91 La.upf
Rh 102.91 Rh.upf
Zn 65.41 Zn.upf
ATOMIC_POSITIONS crystal
La 0.960 0.790 0.790
Rh 0.366 0.419 0.848
Zn 0.500 0.000 0.000
Zn 0.000 0.000 0.000
La 0.750 0.500 0.500
Rh 0.634 0.581 0.152
Rh 0.866 0.848 0.419
La 0.460 0.790 0.790
La 0.250 0.500 0.500
La 0.040 0.210 0.210
La 0.540 0.210 0.210
Rh 0.134 0.152 0.581
CELL_PARAMETERS angstrom
6.814 0.000 3.038
2.011 6.543 4.650
0.431 1.066 8.194

(3)
! La3Zn7Rh4 PBE optimized geometry; values from VASP
! Space group: C2/m
! Calculated volume (A^3/atom): 19.04
! Formation energy from the elements (eV per atom): -0.5388
&SYSTEM
  ibrav = 0, nat = 14, ntyp = 3
/
ATOMIC_SPECIES
Zn 65.41 Zn.upf
La 138.91 La.upf
Rh 102.91 Rh.upf
ATOMIC_POSITIONS crystal
Zn 0.319 0.841 0.521
Zn 0.508 0.763 0.221
La 0.000 0.500 0.500
Zn 0.867 0.363 0.902
Zn 0.000 0.000 0.000
Rh 0.684 0.439 0.192
Rh 0.104 0.111 0.682
Zn 0.681 0.159 0.479
La 0.303 0.191 0.203
Zn 0.492 0.237 0.779
Rh 0.316 0.561 0.808
Rh 0.896 0.889 0.318
Zn 0.133 0.637 0.098
La 0.697 0.809 0.797
CELL_PARAMETERS angstrom
-0.118 1.242 4.193
7.592 0.561 2.331
2.458 8.234 -0.087

(4)
! LaZn2Rh PBE optimized geometry; values from VASP
! Space group: I-4m2
! Calculated volume (A^3/atom): 19.80
! Formation energy from the elements (eV per atom): -0.2912
&SYSTEM
  ibrav = 0, nat = 4, ntyp = 3
/
ATOMIC_SPECIES
Zn 65.41 Zn.upf
La 138.91 La.upf
Rh 102.91 Rh.upf
ATOMIC_POSITIONS crystal
Zn 0.000 0.000 0.000
La 0.500 0.500 0.000
Rh 0.750 0.250 0.500
Zn 0.250 0.750 0.500
CELL_PARAMETERS angstrom
-1.020 -3.593 3.058
4.073 0.871 2.441
-3.194 3.542 -0.744